(1)
Material: CaMg14ZnO16
Method: DFT, meta-GGA SCAN
State: single point on PBEsol structure

Calculated values
Uncorrected formation energy   -2.897 eV/atom

```
data_CaMg14ZnO16
_chemical_formula_sum 'Ca1 Mg14 Zn1 O16'
_space_group_name_H-M_alt 'P 4/m m m'
_space_group_IT_number 123
_space_group_name_Hall '-P 4 2'
_cell_length_a 8.520
_cell_length_b 8.520
_cell_length_c 4.284
_cell_angle_alpha 90.00
_cell_angle_beta 90.00
_cell_angle_gamma 90.00
loop_
_atom_site_label
_atom_site_fract_x
_atom_site_fract_y
_atom_site_fract_z
Ca1 0.000 0.000 0.000
Mg1 0.000 0.256 0.500
Mg2 0.000 0.500 0.000
Mg3 0.251 0.500 0.500
Mg4 0.253 0.253 0.000
Zn1 0.500 0.500 0.000
O1 0.000 0.000 0.500
O2 0.000 0.263 0.000
O3 0.000 0.500 0.500
O4 0.250 0.250 0.500
O5 0.250 0.500 0.000
O6 0.500 0.500 0.500
```


(2)
Material: CaMg14ZnO16
Method: DFT, meta-GGA SCAN
State: single point on PBEsol structure

Calculated values
Uncorrected formation energy   -2.897 eV/atom

```
data_CaMg14ZnO16
_chemical_formula_sum 'Ca1 Mg14 Zn1 O16'
_space_group_name_H-M_alt 'P m m m'
_space_group_IT_number 47
_cell_length_a 4.288
_cell_length_b 8.500
_cell_length_c 8.538
_cell_angle_alpha 90.00
_cell_angle_beta 90.00
_cell_angle_gamma 90.00
loop_
_space_group_symop_operation_xyz
'x,y,z'
'-x,-y,-z'
'-x,-y,z'
'x,y,-z'
'x,-y,-z'
'-x,y,z'
'-x,y,-z'
'x,-y,z'
loop_
_atom_site_label
_atom_site_fract_x
_atom_site_fract_y
_atom_site_fract_z
Ca1 0.000 0.000 0.000
Mg1 0.000 0.000 0.500
Mg2 0.000 0.254 0.254
Mg3 0.000 0.500 0.500
Mg4 0.500 0.000 0.255
Mg5 0.500 0.251 0.500
Mg6 0.500 0.256 0.000
Mg7 0.500 0.500 0.250
Zn1 0.000 0.500 0.000
O1 0.000 0.000 0.263
O2 0.000 0.252 0.500
O3 0.000 0.262 0.000
O4 0.000 0.500 0.257
O5 0.500 0.000 0.000
O6 0.500 0.000 0.500
O7 0.500 0.250 0.249
O8 0.500 0.500 0.000
O9 0.500 0.500 0.500
```


(3)
Material: Ca2MgOs
Method: DFT, meta-GGA SCAN
State: single point on PBEsol structure

```
data_Ca2MgOs
_chemical_formula_sum 'Ca6 Mg3 Os3'
_space_group_name_H-M_alt 'R -3 m'
_space_group_IT_number 166
_space_group_name_Hall '-R 3 2"'
_cell_length_a 3.2865
_cell_length_b 3.2865
_cell_length_c 30.6487
_cell_angle_alpha 90.00
_cell_angle_beta 90.00
_cell_angle_gamma 120.00
loop_
_atom_site_label
_atom_site_fract_x
_atom_site_fract_y
_atom_site_fract_z
Ca1 0.0000 0.0000 0.2347
Mg1 0.0000 0.0000 0.0000
Os1 0.0000 0.0000 0.5000
```


(4)
Material: Ca3MgOs
Method: DFT, meta-GGA SCAN
State: single point on PBEsol structure

```
data_Ca3MgOs
_chemical_formula_sum 'Ca3 Mg1 Os1'
_space_group_name_H-M_alt 'P m -3 m'
_space_group_IT_number 221
_space_group_name_Hall '-P 4 2 3'
_cell_length_a 5.442
_cell_length_b 5.442
_cell_length_c 5.442
_cell_angle_alpha 90.00
_cell_angle_beta 90.00
_cell_angle_gamma 90.00
loop_
_atom_site_label
_atom_site_fract_x
_atom_site_fract_y
_atom_site_fract_z
Ca1 0.000 0.000 0.500
Mg1 0.500 0.500 0.500
Os1 0.000 0.000 0.000
```


(5)
Material: CaMgOs2
Method: DFT, meta-GGA SCAN
State: single point on PBEsol structure

```
data_CaMgOs2
_chemical_formula_sum 'Ca1 Mg1 Os2'
_space_group_name_H-M_alt 'P m m 2'
_space_group_IT_number 25
_cell_length_a 2.874
_cell_length_b 3.582
_cell_length_c 7.659
_cell_angle_alpha 90.00
_cell_angle_beta 90.00
_cell_angle_gamma 90.00
loop_
_space_group_symop_operation_xyz
'x,y,z'
'-x,-y,z'
'-x,y,z'
'x,-y,z'
loop_
_atom_site_label
_atom_site_fract_x
_atom_site_fract_y
_atom_site_fract_z
Ca1 0.000 0.000 0.000
Mg1 0.500 0.500 0.349
Os1 0.000 0.000 0.580
Os2 0.500 0.500 0.722
```


(6)
Material: Ca2MgOs
Method: DFT, meta-GGA SCAN
State: single point on PBEsol structure

```
data_Ca2MgOs
_chemical_formula_sum 'Ca2 Mg1 Os1'
_space_group_name_H-M_alt 'P 4/m m m'
_space_group_IT_number 123
_space_group_name_Hall '-P 4 2'
_cell_length_a 3.345
_cell_length_b 3.345
_cell_length_c 8.687
_cell_angle_alpha 90.00
_cell_angle_beta 90.00
_cell_angle_gamma 90.00
loop_
_atom_site_label
_atom_site_fract_x
_atom_site_fract_y
_atom_site_fract_z
Ca1 0.000 0.000 0.194
Mg1 0.500 0.500 0.500
Os1 0.500 0.500 0.000
```


(7)
Material: CaMg4Os
Method: DFT, meta-GGA SCAN
State: single point on PBEsol structure

```
data_CaMg4Os
_chemical_formula_sum 'Ca4 Mg16 Os4'
_space_group_name_H-M_alt 'F -4 3 m'
_space_group_IT_number 216
_space_group_name_Hall 'F -4 2 3'
_cell_length_a 7.842
_cell_length_b 7.842
_cell_length_c 7.842
_cell_angle_alpha 90.00
_cell_angle_beta 90.00
_cell_angle_gamma 90.00
loop_
_atom_site_label
_atom_site_fract_x
_atom_site_fract_y
_atom_site_fract_z
Ca1 0.000 0.000 0.000
Mg1 0.123 0.123 0.377
Os1 0.250 0.250 0.750
```


(8)
Material: CaMgOs2
Method: DFT, meta-GGA SCAN
State: single point on PBEsol structure

```
data_CaMgOs2
_chemical_formula_sum 'Ca2 Mg2 Os4'
_space_group_name_H-M_alt 'I m m m'
_space_group_IT_number 71
_space_group_name_Hall '-I 2 2'
_cell_length_a 3.006
_cell_length_b 4.744
_cell_length_c 9.261
_cell_angle_alpha 90.00
_cell_angle_beta 90.00
_cell_angle_gamma 90.00
loop_
_atom_site_label
_atom_site_fract_x
_atom_site_fract_y
_atom_site_fract_z
Ca1 0.000 0.000 0.000
Mg1 0.000 0.000 0.500
Os1 0.000 0.500 0.240
```


(9)
Material: CaMgOs2
Method: DFT, meta-GGA SCAN
State: single point on PBEsol structure

```
data_CaMgOs2
_chemical_formula_sum 'Ca2 Mg2 Os4'
_space_group_name_H-M_alt 'C m m m'
_space_group_IT_number 65
_space_group_name_Hall '-C 2 2'
_cell_length_a 3.069
_cell_length_b 4.585
_cell_length_c 9.229
_cell_angle_alpha 90.00
_cell_angle_beta 90.00
_cell_angle_gamma 90.00
loop_
_atom_site_label
_atom_site_fract_x
_atom_site_fract_y
_atom_site_fract_z
Ca1 0.000 0.000 0.000
Mg1 0.000 0.000 0.500
Os1 0.000 0.500 0.262
```


(10)
Material: CaMgOs2
Method: DFT, meta-GGA SCAN
State: single point on PBEsol structure

```
data_CaMgOs2
_chemical_formula_sum 'Ca2 Mg2 Os4'
_space_group_name_H-M_alt 'C 1 2/m 1'
_space_group_IT_number 12
_cell_length_a 5.611
_cell_length_b 9.261
_cell_length_c 2.746
_cell_angle_alpha 90.00
_cell_angle_beta 113.01
_cell_angle_gamma 90.00
loop_
_space_group_symop_operation_xyz
'x,y,z'
'-x,-y,-z'
'-x,y,-z'
'x,-y,z'
'x+1/2,y+1/2,z'
'-x+1/2,-y+1/2,-z'
'-x+1/2,y+1/2,-z'
'x+1/2,-y+1/2,z'
loop_
_atom_site_label
_atom_site_fract_x
_atom_site_fract_y
_atom_site_fract_z
Ca1 0.000 0.000 0.000
Mg1 0.000 0.500 0.000
Os1 0.250 0.250 0.500
```


(11)
Material: CaMgOs2Pb
Method: DFT, meta-GGA SCAN
State: single point on PBEsol structure

```
data_CaMgOs2Pb
_chemical_formula_sum 'Ca1 Mg1 Os2 Pb1'
_space_group_name_H-M_alt 'P 4/m m m'
_space_group_IT_number 123
_space_group_name_Hall '-P 4 2'
_cell_length_a 5.021
_cell_length_b 5.021
_cell_length_c 4.998
_cell_angle_alpha 90.00
_cell_angle_beta 90.00
_cell_angle_gamma 90.00
loop_
_atom_site_label
_atom_site_fract_x
_atom_site_fract_y
_atom_site_fract_z
Ca1 0.000 0.000 0.000
Mg1 0.500 0.500 0.000
Os1 0.000 0.500 0.500
Pb1 0.500 0.500 0.500
```


(12)
Material: CaMgP2
Method: DFT, meta-GGA SCAN
State: single point on PBEsol structure

Calculated values
Energy above the lowest structure with this stoichiometry   0.090 eV per atom

```
data_CaMgP2
_chemical_formula_sum 'Ca1 Mg1 P2'
_space_group_name_H-M_alt 'P m m m'
_space_group_IT_number 47
_cell_length_a 3.752
_cell_length_b 4.405
_cell_length_c 4.478
_cell_angle_alpha 90.00
_cell_angle_beta 90.00
_cell_angle_gamma 90.00
loop_
_space_group_symop_operation_xyz
'x,y,z'
'-x,-y,-z'
'-x,-y,z'
'x,y,-z'
'x,-y,-z'
'-x,y,z'
'-x,y,-z'
'x,-y,z'
loop_
_atom_site_label
_atom_site_fract_x
_atom_site_fract_y
_atom_site_fract_z
Ca1 0.000 0.000 0.000
Mg1 0.000 0.500 0.500
P1 0.500 0.000 0.500
P2 0.500 0.500 0.000
```


Number 1: final energy -8.913 eV/atom. Number 2: final energy -8.913 eV/atom. Number 3: final energy -23.563 eV/atom. Number 4: final energy -20.836 eV/atom. Number 5: final energy -39.357 eV/atom. Number 6: final energy -23.727 eV/atom. Number 7: final energy -16.515 eV/atom. Number 8: final energy -39.067 eV/atom. Number 9: final energy -39.121 eV/atom. Number 10: final energy -39.093 eV/atom. Number 11: final energy -45.326 eV/atom. Number 12: final energy -9.393 eV/atom.